GGA-PBE Ti3IrSe, optimized geometry; size of the total moment = 0.640 μB per cell; D(E_F) = 5.8 states/eV per cell; distance to the lowest polymorph of the same formula = 0 meV/atom; E_form (uncorrected) = 0.6 eV per formula unit; volume = 108.9 Å³ per cell
1.0
4.775 0.000 0.000
0.000 4.775 0.000
0.000 0.000 4.775
Ir Ti Se
1 3 1
Cartesian
0.000 0.000 0.000
0.000 0.000 2.388
0.000 2.388 0.000
2.388 0.000 0.000
2.388 2.388 2.388



GGA-PBE Ce2Co2P, optimized geometry; size of the total moment = 0.000 μB per cell; D(E_F) = 12.9 states/eV per cell; E_form = -0.64 eV/atom; volume = 184.3 Å³ per cell
1.0
3.857 0.000 0.000
1.929 5.276 -0.074
1.929 0.693 9.045
Ce Co P
4 4 2
Cartesian
1.929 3.832 0.831
3.857 4.394 5.775
3.857 1.574 3.196
5.786 2.137 8.141
5.786 5.171 7.868
1.929 2.158 5.339
5.786 3.811 3.632
1.929 0.798 1.103
3.857 4.634 2.875
3.857 1.335 6.096



| no. | electronic total energy (eV per cell) |
| --- | --- |
| 1 | -35.41 |
| 2 | -69.38 |